DFT (PBE) results for a geometry-optimized HoZrInOs structure.

```
4
Lattice="-4.556 1.832 0.253 -3.631 -2.074 -2.586 -3.537 -2.516 2.310" Properties=species:S:1:pos:R:3 pbc="T T T"
Os -2.931 -0.690 -0.006
Ho -5.862 -1.379 -0.011
Zr 0.000 0.000 0.000
In -8.793 -2.069 -0.017
```

## Properties
Energy relative to the lowest polymorph listed for this composition ... 18.9 kJ/mol of atoms
ΔE_f ... -0.8 eV per formula unit
DOS(E_F) ... 0.479 states/eV/atom
Magnetization ... 0.000 μB per atom
Total energy ... -6.978 eV/atom